# 1
Computed, not measured: an optimized crystal structure of Co5As4 at the GGA-PBE level of DFT.

Unit cell a=7.1678 b=7.1678 c=5.2507 alpha=90.00 beta=90.00 gamma=120.00
Atoms (fractional coordinates):
Co1 0.0000 0.3153 0.2500
Co2 0.0000 0.6847 0.7500
Co3 0.3153 0.0000 0.2500
Co4 0.3153 0.3153 0.7500
Co5 0.3333 0.6667 0.0000
Co6 0.3333 0.6667 0.5000
Co7 0.6667 0.3333 0.0000
Co8 0.6667 0.3333 0.5000
Co9 0.6847 0.0000 0.7500
Co10 0.6847 0.6847 0.2500
As1 0.0000 0.0000 0.0000
As2 0.0000 0.0000 0.5000
As3 0.0000 0.3683 0.7500
As4 0.0000 0.6317 0.2500
As5 0.3683 0.0000 0.7500
As6 0.3683 0.3683 0.2500
As7 0.6317 0.0000 0.2500
As8 0.6317 0.6317 0.7500

## Properties
Space group = P6_3/mcm
Final energy = -5.900 eV/atom
D(E_F) = 7.15 states/eV/f.u.

# 2
Computed, not measured: an optimized crystal structure of Er2B4C at the GGA-PBE level of DFT.

Unit cell a=5.2156 b=5.2156 c=5.2156 alpha=143.66 beta=102.10 gamma=89.14
Atoms (fractional coordinates):
Er1 0.2347 0.2347 0.0000
Er2 0.7653 0.7653 0.0000
B1 0.2278 0.5000 0.7278
B2 0.3653 0.0000 0.3653
B3 0.6347 0.0000 0.6347
B4 0.7722 0.5000 0.2722
C1 0.0000 0.5000 0.5000

## Properties
Space group = Immm
Final energy = -7.029 eV/atom
D(E_F) = 1.54 states/eV/f.u.

# 3
Computed, not measured: an optimized crystal structure of Tb5SmEr6 at the GGA-PBE level of DFT.

Unit cell a=10.0838 b=10.0838 c=10.0838 alpha=146.87 beta=136.94 gamma=55.38
Atoms (fractional coordinates):
Tb1 0.0000 0.0000 0.0000
Tb2 0.1526 0.6526 0.5000
Tb3 0.3468 0.3468 0.0000
Tb4 0.6532 0.6532 0.0000
Tb5 0.8474 0.3474 0.5000
Sm1 0.5000 0.0000 0.5000
Er1 0.0687 0.8188 0.2499
Er2 0.2498 0.5000 0.7498
Er3 0.4312 0.1812 0.2499
Er4 0.5688 0.8188 0.7501
Er5 0.7502 0.5000 0.2502
Er6 0.9313 0.1812 0.7501

## Properties
Space group = Immm
Final energy = -4.493 eV/atom
D(E_F) = 20.16 states/eV/f.u.

Question: The highest final energy belongs to which entry?
Answer: Tb5SmEr6